1.
Material: Ge2BiSb2
Method: DFT, PBE
State: relaxed

a b c (Å): 4.1959 4.1959 8.2373
angles (deg): 75.24 75.24 90.00
Fractional positions:
Sb (0.2500, 0.7500, 0.5000)
Sb (0.7500, 0.2500, 0.5000)
Bi (0.0000, 0.0000, 0.0000)
Ge (0.5889, 0.5889, 0.8222)
Ge (0.4111, 0.4111, 0.1778)

Results
- Distance to the lowest polymorph of the same formula: 2.08 kcal/mol of atoms
- Formation energy without anion corrections: 0.328 eV per atom
- Total energy: -19.7 eV per cell

2.
Material: GeBiSb3
Method: DFT, PBE
State: relaxed

a b c (Å): 5.3582 5.3582 5.3582
angles (deg): 90.00 90.00 90.00
Fractional positions:
Sb (0.5000, 0.0000, 0.0000)
Sb (0.0000, 0.5000, 0.0000)
Sb (0.0000, 0.0000, 0.5000)
Bi (0.5000, 0.5000, 0.5000)
Ge (0.0000, 0.0000, 0.0000)

Results
- Distance to the lowest polymorph of the same formula: 0.00 kcal/mol of atoms
- Formation energy without anion corrections: 0.560 eV per atom
- Total energy: -18.1 eV per cell